Record 1
LaScTlCu, optimized geometry, DFT PBE; Fermi-level density of states = 3.94 states/eV/f.u.; crystal system = cubic; ΔE_f = -0.18 eV per atom; M_tot = 0.9 μB per cell
1.0
7.3636 0.0000 0.0000
0.0000 7.3636 0.0000
0.0000 0.0000 7.3636
La Sc Tl Cu
4 4 4 4
Cartesian
0.0000 0.0000 0.0000
0.0000 3.6818 3.6818
3.6818 0.0000 3.6818
3.6818 3.6818 0.0000
0.0000 0.0000 3.6818
0.0000 3.6818 0.0000
3.6818 0.0000 0.0000
3.6818 3.6818 3.6818
1.8409 1.8409 1.8409
1.8409 5.5227 5.5227
5.5227 1.8409 5.5227
5.5227 5.5227 1.8409
1.8409 1.8409 5.5227
1.8409 5.5227 1.8409
5.5227 1.8409 1.8409
5.5227 5.5227 5.5227



Record 2
InWBr, optimized geometry, DFT PBE; Fermi-level density of states = 2.95 states/eV/f.u.; raw formation energy = 1742 meV per atom; crystal system = cubic; M_tot = 16.1 μB per cell
1.0
7.0522 0.0000 0.0000
0.0000 7.0522 0.0000
0.0000 0.0000 7.0522
In W Br
4 4 4
Cartesian
0.0000 0.0000 0.0000
0.0000 3.5261 3.5261
3.5261 0.0000 3.5261
3.5261 3.5261 0.0000
1.7631 1.7631 1.7631
1.7631 5.2892 5.2892
5.2892 1.7631 5.2892
5.2892 5.2892 1.7631
1.7631 1.7631 5.2892
1.7631 5.2892 1.7631
5.2892 1.7631 1.7631
5.2892 5.2892 5.2892